{"formula": "PtC8N6", "functional": "PBE-GGA", "state": "optimized geometry", "cell": [[4.815, 0.000, 0.000], [0.000, 7.066, 0.000], [0.000, 0.000, 15.742]], "species": ["Pt", "Pt", "C", "C", "C", "C", "C", "C", "C", "C", "C", "C", "C", "C", "C", "C", "C", "C", "N", "N", "N", "N", "N", "N", "N", "N", "N", "N", "N", "N"], "fractional_positions": [[0.000, 0.500, 0.500], [0.000, 0.000, 0.000], [0.517, 0.000, 0.715], [0.517, 0.500, 0.785], [0.483, 0.000, 0.285], [0.483, 0.500, 0.215], [0.348, 0.000, 0.642], [0.348, 0.500, 0.858], [0.652, 0.000, 0.358], [0.652, 0.500, 0.142], [0.255, 0.167, 0.604], [0.255, 0.333, 0.896], [0.745, 0.167, 0.396], [0.255, 0.667, 0.896], [0.745, 0.833, 0.396], [0.745, 0.667, 0.104], [0.255, 0.833, 0.604], [0.745, 0.333, 0.104], [0.170, 0.299, 0.568], [0.170, 0.201, 0.932], [0.830, 0.299, 0.432], [0.170, 0.799, 0.932], [0.830, 0.701, 0.432], [0.830, 0.799, 0.068], [0.170, 0.701, 0.568], [0.830, 0.201, 0.068], [0.657, 0.000, 0.776], [0.657, 0.500, 0.724], [0.343, 0.000, 0.224], [0.343, 0.500, 0.276]], "density_g_cm3": 2.33, "m_tot_mub_per_atom": 0.000, "volume_a3_per_cell": 536, "formation_energy_uncorrected_ev_per_atom": 0.500, "dos_ef_per_ev_atom": 0.00}